BaTc2NiH: PBEsol geometry, SCAN.

Lattice parameters (Å, degrees): 4.365 4.365 6.324 90.00 90.00 90.00
Site moments in Bohr magnetons follow the coordinates.
Fractional coordinates of all 5 atoms:
Tc1 0.500 0.000 0.000  2.42
Ni1 0.000 0.000 0.000  0.78
H1 0.500 0.500 0.500  0.04
Ba1 0.000 0.000 0.500  0.00
Tc2 0.000 0.500 0.000  2.42

Its density of states at the Fermi level is 4.62 states/eV per cell. As for the volume: 24.10 Å³ per atom. As for the total DFT energy (no corrections): -24.5270 eV per atom. The value obtained for the total magnetization is 6.24 μB per cell.